1.
Ca3AgP: optimized geometry, PBE.

symmetry	C2/c (15)
E	-68.92	eV for the cell shown
distance to the lowest polymorph of the same formula	0.0000	eV per atom
energy relative to the elements	-593	meV/atom
spin magnetization	0.000	μB per atom

Geometry as POSCAR:
```
Ca3AgP
1.0
7.644 -0.234 -0.175
0.266 8.802 -0.276
0.266 2.222 8.521
Ca Ag P
12 4 4
Direct
0.407 0.185 0.036
0.907 0.315 0.463
0.593 0.537 0.685
0.593 0.815 0.964
0.208 0.568 0.933
0.792 0.432 0.067
0.907 0.036 0.185
0.407 0.463 0.315
0.093 0.685 0.537
0.093 0.964 0.815
0.708 0.933 0.568
0.292 0.067 0.432
0.750 0.672 0.328
0.750 0.173 0.827
0.250 0.827 0.173
0.250 0.328 0.672
0.876 0.692 0.809
0.124 0.308 0.191
0.624 0.191 0.308
0.376 0.809 0.692
```

2.
CaAg2P2: optimized geometry, PBE.

symmetry	I4/mmm (139)
E	-20.39	eV for the cell shown
distance to the lowest polymorph of the same formula	0.0000	eV per atom
energy relative to the elements	-373	meV/atom
spin magnetization	0.000	μB per atom

Geometry as POSCAR:
```
CaAg2P2
1.0
-2.799 -1.269 2.846
0.388 -3.938 -1.374
2.870 -3.466 4.359
Ag P Ca
2 2 1
Direct
0.250 0.750 0.500
0.750 0.250 0.500
0.397 0.397 0.206
0.603 0.603 0.794
0.000 0.000 0.000
```

3.
Ca3AgP: optimized geometry, PBE.

symmetry	Pm-3m (221)
E	-16.74	eV for the cell shown
distance to the lowest polymorph of the same formula	0.0976	eV per atom
energy relative to the elements	-495	meV/atom
spin magnetization	0.000	μB per atom

Geometry as POSCAR:
```
Ca3AgP
1.0
-2.386 4.686 -1.475
-1.562 -2.278 -4.711
-4.658 -1.636 2.336
P Ca Ag
1 3 1
Direct
0.000 0.000 0.000
0.000 0.000 0.500
0.500 0.000 0.000
0.000 0.500 0.000
0.500 0.500 0.500
```